MgPa2As2N2 after structural relaxation. Source: the Alexandria database, functional GGA-PBE.

a = 3.861 Å, b = 5.964 Å, c = 6.466 Å
α = 67.38°, β = 72.63°, γ = 71.12°
Positions (direct):
Mg  0.000  0.000  0.000
Pa  0.193  0.361  0.253
Pa  0.807  0.639  0.747
As  0.565  0.208  0.662
As  0.435  0.792  0.338
N  0.209  0.670  0.912
N  0.791  0.330  0.088

symmetry	C2/m
formation energy from raw total energies	-9.07	eV per formula unit